DFT (PBE) results for an optimized crystal structure of K8As2O.

- offset from the most stable computed form (meV per atom) = 0
- DOS at the Fermi energy (states/eV/atom) = 0.737
- ΔE_f (raw) (eV/atom) = -0.49

Cell lengths 6.9938, 8.4310, 8.6727 Å; angles 107.99, 90.98, 113.28 degrees
Closest atoms and distances in Å follow each position.
Atoms (fractional coordinates):
K  0.0136  0.0687  0.3224  1 O 2.67
K  0.1252  0.7461  0.0093  1 O 2.63
K  0.3138  0.6282  0.4494  2 As 3.35-3.71
K  0.3632  0.2720  0.0198  1 O 2.62
K  0.6368  0.7280  0.9802  1 O 2.62
K  0.6862  0.3718  0.5506  2 As 3.35-3.71
K  0.8748  0.2539  0.9907  1 O 2.63
K  0.9864  0.9313  0.6776  1 O 2.67
As  0.1947  0.3959  0.7119  8 K 3.35-3.71
As  0.8053  0.6041  0.2881  8 K 3.35-3.71
O  0.0000  0.0000  0.0000  6 K 2.62-2.67